# ScRe2P meta-GGA SCAN single point on PBEsol structure
data_ScRe2P
_chemical_formula_sum 'Sc2 Re4 P2'
_symmetry_space_group_name_H-M 'I -4 m 2'
_symmetry_Int_Tables_number 119
_symmetry_space_group_name_Hall 'I -4 -2'
_cell_length_a 3.8734
_cell_length_b 3.8734
_cell_length_c 7.8001
_cell_angle_alpha 90.00
_cell_angle_beta 90.00
_cell_angle_gamma 90.00
loop_
_atom_site_label
_atom_site_fract_x
_atom_site_fract_y
_atom_site_fract_z
Sc1 0.0000 0.0000 0.0000
Re1 0.0000 0.0000 0.5000
Re2 0.0000 0.5000 0.7500
P1 0.0000 0.5000 0.2500
# DFT formation energy	54	meV per atom


# ScRe2P meta-GGA SCAN single point on PBEsol structure
data_ScRe2P
_chemical_formula_sum 'Sc2 Re4 P2'
_symmetry_space_group_name_H-M 'I m m 2'
_symmetry_Int_Tables_number 44
_cell_length_a 3.0838
_cell_length_b 4.1890
_cell_length_c 8.9871
_cell_angle_alpha 90.00
_cell_angle_beta 90.00
_cell_angle_gamma 90.00
loop_
_symmetry_equiv_pos_as_xyz
'x,y,z'
'-x,-y,z'
'-x,y,z'
'x,-y,z'
'x+1/2,y+1/2,z+1/2'
'-x+1/2,-y+1/2,z+1/2'
'-x+1/2,y+1/2,z+1/2'
'x+1/2,-y+1/2,z+1/2'
loop_
_atom_site_label
_atom_site_fract_x
_atom_site_fract_y
_atom_site_fract_z
Sc1 0.0000 0.0000 0.0000
Re1 0.0000 0.0000 0.4849
Re2 0.0000 0.5000 0.2327
P1 0.0000 0.5000 0.7680
# DFT formation energy	-111	meV per atom


# Sc2ZnReP meta-GGA SCAN single point on PBEsol structure
data_Sc2ZnReP
_chemical_formula_sum 'Sc2 Zn1 Re1 P1'
_symmetry_space_group_name_H-M 'P 4/m m m'
_symmetry_Int_Tables_number 123
_symmetry_space_group_name_Hall '-P 4 2'
_cell_length_a 4.8410
_cell_length_b 4.8410
_cell_length_c 4.0530
_cell_angle_alpha 90.00
_cell_angle_beta 90.00
_cell_angle_gamma 90.00
loop_
_atom_site_label
_atom_site_fract_x
_atom_site_fract_y
_atom_site_fract_z
Sc1 0.0000 0.5000 0.0000
Zn1 0.0000 0.0000 0.0000
Re1 0.5000 0.5000 0.5000
P1 0.0000 0.0000 0.5000
# DFT formation energy	885	meV per atom


# RePSe2 meta-GGA SCAN single point on PBEsol structure
data_RePSe2
_chemical_formula_sum 'Re1 P1 Se2'
_symmetry_space_group_name_H-M 'P 4 m m'
_symmetry_Int_Tables_number 99
_cell_length_a 2.8980
_cell_length_b 2.8980
_cell_length_c 8.7165
_cell_angle_alpha 90.00
_cell_angle_beta 90.00
_cell_angle_gamma 90.00
loop_
_symmetry_equiv_pos_as_xyz
'x,y,z'
'-y,x,z'
'-x,-y,z'
'y,-x,z'
'-x,y,z'
'y,x,z'
'x,-y,z'
'-y,-x,z'
loop_
_atom_site_label
_atom_site_fract_x
_atom_site_fract_y
_atom_site_fract_z
Re1 0.0000 0.0000 0.0000
P1 0.5000 0.5000 0.8329
Se1 0.0000 0.0000 0.5264
Se2 0.5000 0.5000 0.1849
# formation energy (no corrections)	260.6	meV/atom


# ReP2Se2 meta-GGA SCAN single point on PBEsol structure
data_ReP2Se2
_chemical_formula_sum 'Re2 P4 Se4'
_symmetry_space_group_name_H-M 'I 4/m m m'
_symmetry_Int_Tables_number 139
_symmetry_space_group_name_Hall '-I 4 2'
_cell_length_a 4.9325
_cell_length_b 4.9325
_cell_length_c 7.6508
_cell_angle_alpha 90.00
_cell_angle_beta 90.00
_cell_angle_gamma 90.00
loop_
_atom_site_label
_atom_site_fract_x
_atom_site_fract_y
_atom_site_fract_z
Re1 0.0000 0.0000 0.0000
P1 0.0000 0.5000 0.2500
Se1 0.0000 0.0000 0.3187
# formation energy (no corrections)	1209.2	meV/atom


# RePSe2 meta-GGA SCAN single point on PBEsol structure
data_RePSe2
_chemical_formula_sum 'Re2 P2 Se4'
_symmetry_space_group_name_H-M 'C m m m'
_symmetry_Int_Tables_number 65
_symmetry_space_group_name_Hall '-C 2 2'
_cell_length_a 2.9665
_cell_length_b 4.8224
_cell_length_c 9.5093
_cell_angle_alpha 90.00
_cell_angle_beta 90.00
_cell_angle_gamma 90.00
loop_
_atom_site_label
_atom_site_fract_x
_atom_site_fract_y
_atom_site_fract_z
Re1 0.0000 0.0000 0.0000
P1 0.0000 0.0000 0.5000
Se1 0.0000 0.5000 0.2206
# formation energy (no corrections)	862.5	meV/atom